# 1
KCa2GaCo: optimized geometry, PBE-GGA.

a b c (Å): 5.329 5.826 5.329
angles (deg): 90.00 90.00 90.00
Positions (direct):
Ga 0.500 0.500 0.500
Ca 0.500 0.000 0.000
Ca 0.000 0.000 0.500
K 0.000 0.500 0.000
Co 0.000 0.000 0.000

Volume, Å³ per atom: 33.09
E above lowest polymorph, meV per atom: 455.4
Size of the total moment, μB per formula unit: 0.000
DOS(E_F), states/eV/f.u.: 4.5

***

# 2
Tb2PaO6: optimized geometry, PBE-GGA.

a b c (Å): 3.856 5.442 6.618
angles (deg): 114.28 106.93 90.00
Positions (direct):
Tb 0.668 0.668 0.336
Tb 0.332 0.332 0.664
O 0.161 0.404 0.321
O 0.500 0.238 0.000
O 0.839 0.083 0.679
O 0.500 0.762 0.000
O 0.161 0.917 0.321
O 0.839 0.596 0.679
Pa 0.000 0.000 0.000

Volume, Å³ per atom: 13.33
E above lowest polymorph, meV per atom: 0.0
Size of the total moment, μB per formula unit: 0.865
Formation energy (no corrections), eV/f.u.: -30.5
DOS(E_F), states/eV/f.u.: 9.2

***

# 3
PaGe2AuO8: optimized geometry, PBE-GGA.

a b c (Å): 5.922 5.922 5.922
angles (deg): 109.33 109.33 109.75
Positions (direct):
Pa 0.000 0.000 0.000
O 0.914 0.216 0.302
O 0.874 0.691 0.184
O 0.914 0.612 0.698
O 0.507 0.691 0.816
O 0.388 0.086 0.302
O 0.309 0.493 0.184
O 0.309 0.126 0.816
O 0.784 0.086 0.698
Ge 0.750 0.250 0.500
Ge 0.500 0.500 0.000
Au 0.250 0.750 0.500

Volume, Å³ per atom: 13.33
Size of the total moment, μB per formula unit: 0.000
Formation energy (no corrections), eV/f.u.: -19.7
DOS(E_F), states/eV/f.u.: 6.0

***

# 4
YCo2As: optimized geometry, PBE-GGA.

a b c (Å): 4.370 4.370 8.543
angles (deg): 75.18 75.18 90.00
Positions (direct):
Co 0.435 0.125 0.250
Co 0.315 0.625 0.250
Co 0.375 0.565 0.750
Co 0.875 0.685 0.750
Y 0.000 0.000 0.000
Y 0.750 0.250 0.500
As 0.500 0.500 0.000
As 0.250 0.750 0.500

Volume, Å³ per atom: 19.01
Total DFT energy (no corrections), eV per formula unit: -26.25
Size of the total moment, μB per formula unit: 1.483
DOS(E_F), states/eV/f.u.: 3.1

***

# 5
K4TlI6: optimized geometry, PBE-GGA.

a b c (Å): 4.645 8.899 25.648
angles (deg): 90.00 90.00 105.13
Positions (direct):
Tl 0.646 0.292 0.250
Tl 0.354 0.708 0.750
I 0.714 0.429 0.750
I 0.222 0.444 0.915
I 0.060 0.119 0.331
I 0.778 0.556 0.085
I 0.500 0.000 0.000
I 0.778 0.556 0.415
I 0.500 0.000 0.500
I 0.060 0.119 0.169
I 0.286 0.571 0.250
I 0.222 0.444 0.585
I 0.940 0.881 0.831
I 0.940 0.881 0.669
K 0.141 0.282 0.041
K 0.591 0.182 0.631
K 0.141 0.282 0.459
K 0.591 0.182 0.869
K 0.859 0.718 0.541
K 0.409 0.818 0.131
K 0.859 0.718 0.959
K 0.409 0.818 0.369

Volume, Å³ per atom: 46.52
Size of the total moment, μB per formula unit: 0.000
Formation energy (no corrections), eV/f.u.: -12.3
DOS(E_F), states/eV/f.u.: 11.3

***

# 6
TcHSe2: optimized geometry, PBE-GGA.

a b c (Å): 3.133 3.178 6.976
angles (deg): 103.13 89.30 90.00
Positions (direct):
Se 0.038 0.196 0.023
Se 0.551 0.950 0.528
H 0.047 0.529 0.687
Tc 0.543 0.590 0.810

Volume, Å³ per atom: 16.91
E above lowest polymorph, meV per atom: 59.4
Size of the total moment, μB per formula unit: 0.000
DOS(E_F), states/eV/f.u.: 2.5

***

# 7
NdScCoCu: optimized geometry, PBE-GGA.

a b c (Å): 4.766 4.766 4.766
angles (deg): 60.00 60.00 60.00
Positions (direct):
Sc 0.500 0.500 0.500
Nd 0.000 0.000 0.000
Co 0.750 0.750 0.750
Cu 0.250 0.250 0.250

Volume, Å³ per atom: 19.14
Total DFT energy (no corrections), eV per formula unit: -22.74
Size of the total moment, μB per formula unit: 0.433
DOS(E_F), states/eV/f.u.: 3.5

***

# 8
Sr2MnGaS5: optimized geometry, PBE-GGA.

a b c (Å): 3.879 8.802 12.221
angles (deg): 90.00 90.00 102.73
Positions (direct):
Sr 0.135 0.269 0.316
Sr 0.121 0.241 0.686
Sr 0.865 0.731 0.816
Sr 0.879 0.759 0.186
Mn 0.789 0.578 0.528
Mn 0.211 0.422 0.028
S 0.307 0.614 0.376
S 0.710 0.420 0.153
S 0.693 0.386 0.876
S 0.290 0.580 0.653
S 0.503 0.005 0.280
S 0.936 0.873 0.544
S 0.497 0.995 0.780
S 0.064 0.127 0.044
S 0.346 0.691 0.006
S 0.654 0.309 0.506
Ga 0.566 0.132 0.935
Ga 0.434 0.868 0.435

Volume, Å³ per atom: 22.61
Size of the total moment, μB per formula unit: 4.000
Formation energy (no corrections), eV/f.u.: -11.4
DOS(E_F), states/eV/f.u.: 2.0

***

# 9
Nd7CdSn5: optimized geometry, PBE-GGA.

a b c (Å): 6.486 8.515 8.515
angles (deg): 83.52 67.61 67.61
Positions (direct):
Nd 0.641 0.359 0.359
Nd 0.283 0.217 0.217
Nd 0.004 0.329 0.664
Nd 0.004 0.664 0.329
Nd 0.271 0.729 0.729
Nd 0.520 0.813 0.147
Nd 0.520 0.147 0.813
Sn 0.007 0.000 0.485
Sn 0.508 0.485 0.000
Sn 0.007 0.485 0.000
Sn 0.508 0.000 0.485
Sn 0.763 0.737 0.737
Cd 0.963 0.037 0.037

Volume, Å³ per atom: 30.91
Total DFT energy (no corrections), eV per formula unit: -60.40
Size of the total moment, μB per formula unit: 0.000
DOS(E_F), states/eV/f.u.: 12.4

***

# 10
PaTiCo3: optimized geometry, PBE-GGA.

a b c (Å): 4.987 4.737 6.785
angles (deg): 90.00 111.56 90.00
Positions (direct):
Co 0.611 0.250 0.743
Co 0.132 0.250 0.743
Co 0.000 0.500 0.000
Co 0.868 0.750 0.257
Co 0.000 0.000 0.000
Co 0.389 0.750 0.257
Pa 0.202 0.250 0.405
Pa 0.798 0.750 0.595
Ti 0.559 0.250 0.118
Ti 0.441 0.750 0.882

Volume, Å³ per atom: 14.91
Total DFT energy (no corrections), eV per formula unit: -39.88
Size of the total moment, μB per formula unit: 0.031
DOS(E_F), states/eV/f.u.: 6.7

***

# 11
Na4Ce3SnS8: optimized geometry, PBE-GGA.

a b c (Å): 8.293 8.154 8.293
angles (deg): 120.59 120.00 90.00
Positions (direct):
S 0.744 0.733 0.489
S 0.734 0.729 0.982
S 0.752 0.271 0.018
S 0.266 0.271 0.018
S 0.248 0.729 0.982
S 0.248 0.729 0.496
S 0.752 0.271 0.504
S 0.256 0.267 0.511
Na 0.000 0.000 0.000
Na 0.500 0.000 0.500
Na 0.500 0.000 0.000
Na 0.000 0.000 0.500
Ce 0.500 0.500 0.000
Ce 0.500 0.500 0.500
Ce 0.000 0.500 0.500
Sn 0.000 0.500 0.000

Volume, Å³ per atom: 24.56
Size of the total moment, μB per formula unit: 2.011
Formation energy (no corrections), eV/f.u.: -24.4
DOS(E_F), states/eV/f.u.: 13.3

***

# 12
SiTe2Pd: optimized geometry, PBE-GGA.

a b c (Å): 8.533 8.533 8.533
angles (deg): 26.27 26.27 26.27
Positions (direct):
Pd 0.000 0.000 0.000
Te 0.897 0.897 0.897
Te 0.103 0.103 0.103
Si 0.500 0.500 0.500

Volume, Å³ per atom: 26.82
Size of the total moment, μB per formula unit: 0.000
Formation energy (no corrections), eV/f.u.: 0.8
DOS(E_F), states/eV/f.u.: 2.4